No. 1
Computed, not measured: CeMg2Rh2 after structural relaxation at the GGA-PBE level of DFT.

It has space group Cmc2_1 (No. 36), with a = 4.394 Å, b = 17.257 Å, c = 5.276 Å, α = 90.00°, β = 90.00° and γ = 90.00°. The asymmetric unit holds Ce at (0.000, 0.104, 0.000), Mg at (0.000, 0.279, 0.775), Mg at (0.000, 0.448, 0.006), Rh at (0.000, 0.143, 0.459) and Rh at (0.000, 0.312, 0.282).

As for the relative energy among the computed polymorphs: 0.026 eV/atom. As for the magnetization: 0.0 μB per formula unit. Its calculated total energy is -5.277 eV/atom.

No. 2
Computed, not measured: ZnIrSe3 after structural relaxation at the GGA-PBE level of DFT.

It has space group Pm-3m (No. 221), with a = 4.754 Å, b = 4.754 Å, c = 4.754 Å, α = 90.00°, β = 90.00° and γ = 90.00°. The asymmetric unit holds Zn at (0.000, 0.000, 0.000), Ir at (0.500, 0.500, 0.500) and Se at (0.000, 0.000, 0.500).

As for the relative energy among the computed polymorphs: 0.606 eV/atom. As for the magnetization: 0.0 μB per formula unit. Its uncorrected formation energy is 1.1538 eV per atom. Its calculated total energy is -2.964 eV/atom.

No. 3
Computed, not measured: Ho6Tm2Sc after structural relaxation at the GGA-PBE level of DFT.

It has space group C2/m (No. 12), with a = 11.027 Å, b = 4.923 Å, c = 10.473 Å, α = 90.00°, β = 108.47° and γ = 90.00°. The asymmetric unit holds Ho at (0.164, 0.000, 0.219), Ho at (0.166, 0.000, 0.555), Ho at (0.168, 0.000, 0.891), Tm at (0.001, 0.500, 0.670) and Sc at (0.000, 0.500, 0.000).

As for the relative energy among the computed polymorphs: 0.000 eV/atom. As for the magnetization: 0.0 μB per formula unit. Its calculated total energy is -4.716 eV/atom.